#A
LaNdErZn PBE optimized geometry; SG = No. 216; N(E_F) = 5.010 states/eV/cell
1.0
0.0000 3.8747 3.8747
3.8747 0.0000 3.8747
3.8747 3.8747 0.0000
La Nd Er Zn
1 1 1 1
direct
0.0000 0.0000 0.0000 La
0.5000 0.5000 0.5000 Nd
0.2500 0.2500 0.2500 Er
0.7500 0.7500 0.7500 Zn

#B
LaNdErZn PBE optimized geometry; SG = No. 99; N(E_F) = 5.674 states/eV/cell
1.0
3.6423 0.0000 0.0000
0.0000 3.6423 0.0000
0.0000 0.0000 8.8319
La Nd Er Zn
1 1 1 1
direct
0.0000 0.0000 0.0000 La
0.5000 0.5000 0.6924 Nd
0.5000 0.5000 0.2904 Er
0.0000 0.0000 0.4736 Zn

Stability ranking, top and bottom: #B is the most stable and #A is the least stable.

#A
La2ErNi PBE optimized geometry; SG = No. 166; N(E_F) = 5.119 states/eV/cell
1.0
1.8566 1.0719 10.4744
-1.8566 1.0719 10.4744
0.0000 -2.1438 10.4744
La Er Ni
2 1 1
direct
0.1096 0.1096 0.1096 La
0.8904 0.8904 0.8904 La
0.0000 0.0000 0.0000 Er
0.5000 0.5000 0.5000 Ni

#B
La2ErNi PBE optimized geometry; SG = No. 62; N(E_F) = 18.843 states/eV/cell
1.0
7.0375 0.0000 0.0000
0.0000 10.1677 0.0000
0.0000 0.0000 6.4261
La Er Ni
8 4 4
direct
0.1758 0.0682 0.1763 La
0.1758 0.4318 0.1763 La
0.3242 0.5682 0.6763 La
0.3242 0.9318 0.6763 La
0.6758 0.0682 0.3237 La
0.6758 0.4318 0.3237 La
0.8242 0.5682 0.8237 La
0.8242 0.9318 0.8237 La
0.0385 0.2500 0.6622 Er
0.4615 0.7500 0.1622 Er
0.5385 0.2500 0.8378 Er
0.9615 0.7500 0.3378 Er
0.1185 0.7500 0.9435 Ni
0.3815 0.2500 0.4435 Ni
0.6185 0.7500 0.5565 Ni
0.8815 0.2500 0.0565 Ni

Stability ranking, top and bottom: #B is the most stable and #A is the least stable.